# Co2NiI (PBE, relaxed)
data_Co2NiI
_cell_length_a 6.949
_cell_length_b 6.949
_cell_length_c 6.949
_cell_angle_alpha 134.61
_cell_angle_beta 134.61
_cell_angle_gamma 66.14
_space_group_name_H-M_alt 'P 1'
_space_group_IT_number 1
_space_group_name_Hall 'P 1'
loop_
_atom_site_label
_atom_site_type_symbol
_atom_site_fract_x
_atom_site_fract_y
_atom_site_fract_z
Co1 Co 0.067 0.625 0.942
Co2 Co 0.375 0.317 0.442
Co3 Co 0.683 0.125 0.058
Co4 Co 0.875 0.933 0.558
Ni1 Ni 0.000 0.000 0.000
Ni2 Ni 0.750 0.250 0.500
I1 I 0.250 0.750 0.500
I2 I 0.500 0.500 0.000
# * uncorrected formation energy: 0.923 eV/atom
# * VASP energy: -17.9 eV/f.u.
# * space group: I-42d, No. 122

---

# CoNiI2 (PBE, relaxed)
data_CoNiI2
_cell_length_a 8.102
_cell_length_b 8.102
_cell_length_c 8.102
_cell_angle_alpha 28.49
_cell_angle_beta 28.49
_cell_angle_gamma 28.49
_space_group_name_H-M_alt 'P 1'
_space_group_IT_number 1
_space_group_name_Hall 'P 1'
loop_
_atom_site_label
_atom_site_type_symbol
_atom_site_fract_x
_atom_site_fract_y
_atom_site_fract_z
Co1 Co 0.000 0.000 0.000
Ni1 Ni 0.500 0.500 0.500
I1 I 0.396 0.396 0.396
I2 I 0.604 0.604 0.604
# * uncorrected formation energy: 0.473 eV/atom
# * E above lowest polymorph: 0.206 eV per atom
# * VASP energy: -14.1 eV/f.u.
# * space group: R-3m, No. 166

---

- VASP energy of number 1 (Co2NiI)?
  -17.9 eV/f.u.

---

- Which of these has the highest uncorrected formation energy?
  Co2NiI